# 1
PBE AcNd4Cd5, relaxed; ρ = 7.6 g/cm³; M_tot = 1.609 μB/f.u.; electronic total energy = -30.84 eV/cell; N(E_F) = 12.53 states/eV/f.u.
1.0
3.8979 0.0000 0.0000
0.0000 3.8979 0.0000
0.0000 0.0000 19.5351
Cd Nd Ac
5 4 1
Direct
0.5000 0.5000 0.8868
0.5000 0.5000 0.6951
0.5000 0.5000 0.3049
0.5000 0.5000 0.5000
0.5000 0.5000 0.1132
0.0000 0.0000 0.4029
0.0000 0.0000 0.7917
0.0000 0.0000 0.5971
0.0000 0.0000 0.2083
0.0000 0.0000 0.0000

=====

# 2
PBE CsScCrFe2, relaxed; ρ = 4.8 g/cm³; M_tot = 8.088 μB/f.u.; electronic total energy = -22.17 eV/cell; N(E_F) = 6.70 states/eV/f.u.
1.0
4.7439 0.0000 0.0000
0.0000 5.1990 0.0000
0.0000 0.0000 4.7439
Cr Sc Fe Cs
1 1 2 1
Direct
0.5000 0.5000 0.5000
0.0000 0.5000 0.0000
0.5000 0.0000 0.0000
0.0000 0.0000 0.5000
0.0000 0.0000 0.0000

=====

# 3
PBE LiLaSb2, relaxed; excess energy over the best structure of this formula in the dataset = 237 meV per atom; ρ = 5.8 g/cm³; M_tot = 0.163 μB/f.u.; N(E_F) = 2.11 states/eV/f.u.
1.0
-3.3966 4.5204 -0.5580
-2.3082 -1.9426 -1.6871
-2.5196 -1.2851 4.9268
La Sb Li
1 2 1
Direct
0.0000 0.6240 0.3753
0.0000 0.1243 0.8753
0.5000 0.1247 0.3749
0.5000 0.6270 0.8745

=====

# 4
PBE YAlI2N, relaxed; excess energy over the best structure of this formula in the dataset = 0 meV per atom; ρ = 5.2 g/cm³; M_tot = 0.000 μB/f.u.; N(E_F) = 1.78 states/eV/f.u.
1.0
5.8730 0.0000 0.0000
0.0000 5.8730 0.0000
0.0000 0.0000 3.5657
N I Al Y
1 2 1 1
Direct
0.0000 0.0000 0.5000
0.5000 0.0000 0.0000
0.0000 0.5000 0.0000
0.0000 0.0000 0.0000
0.5000 0.5000 0.5000

=====

# 5
PBE LiY2SbC, relaxed; excess energy over the best structure of this formula in the dataset = 0 meV per atom; ρ = 5.1 g/cm³; M_tot = 0.000 μB/f.u.; N(E_F) = 1.24 states/eV/f.u.
1.0
4.8908 0.0000 0.0000
0.0000 4.8908 0.0000
0.0000 0.0000 4.3524
Li Y C Sb
1 2 1 1
Direct
0.0000 0.0000 0.5000
0.0000 0.5000 0.0000
0.5000 0.0000 0.0000
0.0000 0.0000 0.0000
0.5000 0.5000 0.5000

=====

# 6
PBE Fe2Mo3, relaxed; excess energy over the best structure of this formula in the dataset = 91 meV per atom; ρ = 9.5 g/cm³; M_tot = 1.398 μB/f.u.; N(E_F) = 5.75 states/eV/f.u.
1.0
-6.4644 2.5978 -8.7352
-8.3906 2.7553 -6.8445
-6.8275 4.8993 -7.3637
Mo Fe
3 2
Direct
0.2047 0.2047 0.2047
0.0000 0.0000 0.0000
0.7953 0.7953 0.7953
0.6018 0.6018 0.6018
0.3982 0.3982 0.3982

=====

# 7
PBE LiAlInPb, relaxed; ρ = 6.4 g/cm³; M_tot = 0.000 μB/f.u.; electronic total energy = -12.03 eV/cell; N(E_F) = 2.92 states/eV/f.u.
1.0
5.0790 0.0000 0.0000
2.5395 4.3985 0.0000
2.5395 1.4662 4.1470
Al Li In Pb
1 1 1 1
Direct
0.5000 0.5000 0.5000
0.0000 0.0000 0.0000
0.2500 0.2500 0.2500
0.7500 0.7500 0.7500

=====

# 8
PBE AlCdIn, relaxed; ρ = 6.1 g/cm³; M_tot = 0.000 μB/f.u.; electronic total energy = -14.08 eV/cell; N(E_F) = 1.18 states/eV/f.u.
1.0
-5.4410 3.1532 1.4232
-0.9876 -2.5304 1.8306
3.0557 2.5456 5.1669
In Cd Al
2 2 2
Direct
0.3421 0.9704 0.1885
0.9187 0.4701 0.2873
0.6355 0.9703 0.5637
0.2415 0.4704 0.6506
0.9699 0.9704 0.8901
0.6205 0.4704 0.9332